# LiNiI

Crystalline LiNiI at its relaxed geometry (PBE-GGA, the Alexandria database).

Geometry as POSCAR:
```
LiNiI
1.0
-0.700 -1.631 -3.828
1.049 -2.528 3.211
-7.438 -0.882 1.735
I Ni Li
2 2 2
Cartesian
-1.401 -2.450 1.300
-5.105 -2.889 2.165
-2.305 -0.273 0.538
-5.132 -0.609 1.197
-0.117 -1.930 -1.481
-3.836 -2.371 -0.614
```

Values from the calculation:
distance to the lowest polymorph of the same formula = 136.6 meV per atom
DOS(E_F) = 1.77 states/eV/cell
formation energy from raw total energies = -3.0 kcal/mol of atoms

=====

# YPuCo2

Crystalline YPuCo2 at its relaxed geometry (PBE-GGA, the Alexandria database).

Geometry as POSCAR:
```
YPuCo2
1.0
-1.916 1.898 -1.926
-1.272 -2.716 -1.411
-4.848 -0.155 4.669
Y Co Pu
1 2 1
Cartesian
-4.018 -0.487 0.666
-3.740 -0.120 3.602
-1.107 -0.035 1.067
-1.594 -0.409 -1.669
```

Values from the calculation:
energy of formation = -0.1 eV per formula unit
DOS(E_F) = 10.91 states/eV/cell

=====

# CaFeGe2Pd

Crystalline CaFeGe2Pd at its relaxed geometry (PBE-GGA, the Alexandria database).

Geometry as POSCAR:
```
CaFeGe2Pd
1.0
-1.722 -3.686 -0.594
2.489 -1.621 2.843
-3.936 3.714 2.589
Ca Fe Ge Pd
1 1 2 1
Cartesian
0.000 0.000 0.000
-2.637 -1.313 1.560
-0.508 -2.388 2.056
-2.661 0.794 2.782
-0.532 -0.280 3.279
```

Values from the calculation:
distance to the lowest polymorph of the same formula = 0.0 meV per atom
energy of formation = -2.4 eV per formula unit
DOS(E_F) = 2.41 states/eV/cell

=====

# La12TmSn3

Crystalline La12TmSn3 at its relaxed geometry (PBE-GGA, the Alexandria database).

Geometry as POSCAR:
```
La12TmSn3
1.0
-4.418 0.384 -2.435
-1.568 -4.294 2.168
-7.681 10.687 15.617
La Tm Sn
12 1 3
Cartesian
-2.993 -1.955 -0.134
-4.948 0.765 3.842
-6.833 3.388 7.675
-8.718 6.011 11.508
-3.213 1.589 0.824
-5.109 4.227 4.679
-6.990 6.844 8.503
-8.886 9.481 12.358
-1.788 -0.750 3.126
-3.684 1.888 6.980
-5.565 4.505 10.804
-7.460 7.142 14.659
0.000 0.000 0.000
-1.954 2.718 3.972
-3.840 5.343 7.809
-5.727 7.969 11.645
```

Values from the calculation:
energy of formation = -5.6 eV per formula unit
DOS(E_F) = 20.29 states/eV/cell

=====

# BaBe2Te

Crystalline BaBe2Te at its relaxed geometry (PBE-GGA, the Alexandria database).

Geometry as POSCAR:
```
BaBe2Te
1.0
-0.775 -2.453 -2.624
3.223 -1.660 0.599
-2.996 -4.111 4.727
Be Te Ba
2 1 1
Cartesian
-0.276 -0.379 0.436
-1.222 -1.676 1.927
0.475 -3.084 0.169
-1.023 -5.140 2.533
```

Values from the calculation:
DOS(E_F) = 3.18 states/eV/cell
formation energy from raw total energies = 7.4 kcal/mol of atoms

=====

# PmPdRh

Crystalline PmPdRh at its relaxed geometry (PBE-GGA, the Alexandria database).

Geometry as POSCAR:
```
PmPdRh
1.0
4.768 0.000 2.677
1.662 4.480 2.625
0.076 0.143 5.450
Pm Pd Rh
2 2 2
Cartesian
4.829 1.726 5.361
1.677 2.898 5.391
3.215 2.240 2.651
2.422 0.072 4.063
0.000 0.000 0.000
2.384 0.000 1.339
```

Values from the calculation:
distance to the lowest polymorph of the same formula = 0.0 meV per atom
energy of formation = -2.1 eV per formula unit
DOS(E_F) = 4.99 states/eV/cell

=====

# Ca5Sn5Pt2

Crystalline Ca5Sn5Pt2 at its relaxed geometry (PBE-GGA, the Alexandria database).

Geometry as POSCAR:
```
Ca5Sn5Pt2
1.0
0.511 0.662 4.704
-4.892 -5.892 3.787
5.302 -6.061 2.703
Ca Sn Pt
5 5 2
Cartesian
0.460 -5.646 5.597
3.462 -7.448 5.525
-2.957 -7.591 6.242
3.877 -3.700 4.952
-2.542 -3.843 5.669
-1.270 -5.670 8.215
0.425 -8.798 6.044
0.495 -2.493 5.150
2.190 -5.621 2.979
0.000 0.000 0.000
1.331 -7.308 8.163
-0.410 -3.983 3.031
```

Values from the calculation:
energy of formation = -8.5 eV per formula unit
DOS(E_F) = 6.78 states/eV/cell

=====

# Th6Te3P2Ru

Crystalline Th6Te3P2Ru at its relaxed geometry (PBE-GGA, the Alexandria database).

Geometry as POSCAR:
```
Th6Te3P2Ru
1.0
4.159 0.000 0.000
0.000 8.979 0.082
-2.080 -2.831 9.184
Th Te P Ru
6 3 2 1
Cartesian
0.000 6.068 6.359
2.080 4.033 3.268
2.080 0.080 2.908
0.000 1.900 0.160
2.080 4.248 9.107
0.000 2.115 5.998
2.080 4.489 0.041
2.080 -0.381 6.111
0.000 6.529 3.155
2.080 4.080 6.166
0.000 2.068 3.101
2.080 0.000 0.000
```

Values from the calculation:
DOS(E_F) = 9.34 states/eV/cell
formation energy from raw total energies = -27.4 kcal/mol of atoms

=====

# Al2Tl2Br7

Crystalline Al2Tl2Br7 at its relaxed geometry (PBE-GGA, the Alexandria database).

Geometry as POSCAR:
```
Al2Tl2Br7
1.0
-4.623 -2.792 -4.098
3.656 -7.020 2.488
-10.578 -1.030 12.637
Al Tl Br
4 4 14
Cartesian
-10.908 -7.936 9.396
-0.638 -2.906 1.631
-9.802 -4.140 4.647
-1.743 -6.702 6.380
-1.147 -8.211 1.564
-6.413 -5.931 8.130
-10.398 -2.631 9.463
-5.133 -4.911 2.898
-5.289 -0.515 6.318
1.828 -3.510 1.244
-1.513 -1.591 -0.162
-7.782 -5.344 5.072
-10.033 -9.251 11.189
-3.764 -5.498 5.955
-6.949 -2.846 9.298
-5.940 -6.436 11.520
-5.606 -4.407 -0.493
-4.597 -7.997 1.730
-6.251 -9.327 8.651
-9.586 -5.964 9.209
-1.959 -4.878 1.819
-5.295 -1.515 2.376
```

Values from the calculation:
DOS(E_F) = 2.75 states/eV/cell
formation energy from raw total energies = -20.5 kcal/mol of atoms

=====

# Nb2Ir

Crystalline Nb2Ir at its relaxed geometry (PBE-GGA, the Alexandria database).

Geometry as POSCAR:
```
Nb2Ir
1.0
-0.793 3.777 -3.363
-9.127 -3.563 -1.849
-3.705 5.710 7.285
Nb Ir
20 10
Cartesian
-8.947 -0.689 -2.560
-4.678 6.613 4.633
-5.053 0.846 2.140
-7.779 1.302 3.296
-10.560 0.584 -0.751
-3.064 5.341 2.824
-4.696 -0.918 0.076
-8.136 3.065 5.360
-7.359 6.059 4.643
-6.266 -0.135 -2.571
-2.882 2.186 3.134
-9.950 -0.038 2.302
-7.578 0.360 0.257
-5.647 3.662 3.510
-2.878 3.208 -1.548
-11.140 4.591 1.952
-6.047 5.564 1.816
-7.977 2.262 -1.437
-10.747 2.716 3.621
-2.484 1.334 0.121
-6.812 2.962 1.036
0.000 0.000 0.000
-4.163 3.495 1.010
-9.462 2.430 1.063
-6.997 -2.229 -0.854
-5.835 4.377 6.290
-5.202 1.717 -0.742
-8.423 4.207 2.814
-3.375 3.965 5.248
-9.457 -1.818 0.188
```

Values from the calculation:
energy of formation = -1.4 eV per formula unit
DOS(E_F) = 27.30 states/eV/cell

=====

# La7Pt5

Crystalline La7Pt5 at its relaxed geometry (PBE-GGA, the Alexandria database).

Geometry as POSCAR:
```
La7Pt5
1.0
-3.137 -1.516 2.236
-2.564 -5.766 -3.676
5.735 -10.882 4.500
La Pt
7 5
Cartesian
-0.892 -13.157 1.323
0.926 -5.008 1.736
-0.687 -6.461 -1.513
0.721 -11.703 4.572
-1.452 -2.575 0.049
0.017 -9.082 1.530
1.486 -15.589 3.010
-2.413 -10.624 0.907
2.447 -7.540 2.153
-2.230 -5.480 0.820
2.264 -12.684 2.240
0.000 0.000 0.000
```

Values from the calculation:
energy of formation = -12.2 eV per formula unit
DOS(E_F) = 8.66 states/eV/cell

=====

# Zn8As3P2

Crystalline Zn8As3P2 at its relaxed geometry (PBE-GGA, the Alexandria database).

Geometry as POSCAR:
```
Zn8As3P2
1.0
-3.712 5.164 -1.887
-6.256 -3.352 3.133
-3.309 2.605 5.785
Zn As P
8 3 2
Cartesian
-4.054 0.492 2.036
-9.223 3.925 4.995
-7.321 -1.035 3.486
-5.957 5.451 3.545
-8.818 0.403 6.743
-5.752 2.046 5.207
-7.526 2.370 1.824
-4.459 4.014 0.288
0.000 0.000 0.000
-3.523 1.689 -0.109
-6.445 0.123 1.355
-6.873 0.023 5.513
-6.405 4.394 1.518
```

Values from the calculation:
energy of formation = -0.2 eV per formula unit
DOS(E_F) = 2.26 states/eV/cell

=====

# KCrMo2

Crystalline KCrMo2 at its relaxed geometry (PBE-GGA, the Alexandria database).

Geometry as POSCAR:
```
KCrMo2
1.0
3.084 0.000 0.000
0.000 4.570 0.000
0.000 0.000 5.329
Cr K Mo
1 1 2
Cartesian
1.542 0.000 2.665
0.000 2.285 2.665
0.000 0.000 0.000
1.542 2.285 0.000
```

Values from the calculation:
distance to the lowest polymorph of the same formula = 692.0 meV per atom
energy of formation = 6.0 eV per formula unit
DOS(E_F) = 3.41 states/eV/cell

=====

# LiBeRu2Br

Crystalline LiBeRu2Br at its relaxed geometry (PBE-GGA, the Alexandria database).

Geometry as POSCAR:
```
LiBeRu2Br
1.0
-1.337 4.073 -0.842
-1.739 -1.191 -3.001
-3.607 -0.695 2.366
Ru Li Br Be
2 1 1 1
Cartesian
-1.803 -0.347 1.183
-0.668 2.037 -0.421
0.000 0.000 0.000
-3.341 1.094 -0.739
-0.870 -0.596 -1.500
```

Values from the calculation:
DOS(E_F) = 2.27 states/eV/cell
formation energy from raw total energies = 29.5 kcal/mol of atoms

=====

Summary of total moment in Bohr magnetons per cell
0.000, 3.750, 0.001, 0.000, 0.000, 0.000, 0.000, 0.000, 1.974, 0.000, 0.000, 0.000, 2.947, 0.000
(order as listed above)